[1]
A relaxed CsRbHg4 crystal, computed with GGA-PBE.

The structure belongs to space group Immm (No. 71); the cell edges are 5.518, 9.299 and 9.531 Å and the angles 90.00°, 90.00° and 90.00°. The inequivalent atoms are Cs at (0.000, 0.000, 0.000), Rb at (0.000, 0.500, 0.000) and Hg at (0.000, 0.241, 0.333).

For the relative energy among the computed polymorphs, the calculation gives 2 meV/atom.

[2]
A relaxed CsRb4Hg4 crystal, computed with GGA-PBE.

The structure belongs to space group P4_2/n (No. 86, origin choice 2); the cell edges are 11.733, 11.733 and 7.383 Å and the angles 90.00°, 90.00° and 90.00°. The inequivalent atoms are Cs at (0.250, 0.250, 0.250), Rb at (0.075, 0.660, 0.128) and Hg at (0.026, 0.602, 0.619).

[3]
A relaxed Cs3RbHg crystal, computed with GGA-PBE.

The structure belongs to space group Fd-3m (No. 227, origin choice 2); the cell edges are 20.161, 20.161 and 20.161 Å and the angles 90.00°, 90.00° and 90.00°. The inequivalent atoms are Cs at (0.063, 0.375, 0.375), Rb at (0.000, 0.000, 0.500) and Hg at (0.000, 0.000, 0.000).

For the relative energy among the computed polymorphs, the calculation gives 76 meV/atom.

[4]
A relaxed Cs2Rb4Hg crystal, computed with GGA-PBE.

The structure belongs to space group I4/mmm (No. 139); the cell edges are 7.185, 7.185 and 24.452 Å and the angles 90.00°, 90.00° and 90.00°. The inequivalent atoms are Cs at (0.000, 0.000, 0.153), Rb at (0.000, 0.000, 0.349), Rb at (0.000, 0.500, 0.000) and Hg at (0.000, 0.000, 0.500).

For the relative energy among the computed polymorphs, the calculation gives 16 meV/atom.

[5]
A relaxed Cs3RbHg crystal, computed with GGA-PBE.

The structure belongs to space group I-4m2 (No. 119); the cell edges are 8.501, 8.501 and 25.925 Å and the angles 90.00°, 90.00° and 90.00°. The inequivalent atoms are Cs at (0.000, 0.000, 0.205), Cs at (0.000, 0.251, 0.623), Rb at (0.000, 0.500, 0.047), Hg at (0.000, 0.000, 0.500) and Hg at (0.000, 0.500, 0.750).

For the relative energy among the computed polymorphs, the calculation gives 88 meV/atom.

[6]
A relaxed CsRbHg6 crystal, computed with GGA-PBE.

The structure belongs to space group Amm2 (No. 38); the cell edges are 5.636, 7.766 and 13.418 Å and the angles 90.00°, 90.00° and 90.00°. The inequivalent atoms are Cs at (0.000, 0.000, 0.000), Rb at (0.500, 0.000, 0.667), Hg at (0.000, 0.000, 0.478), Hg at (0.000, 0.216, 0.262), Hg at (0.500, 0.000, 0.193) and Hg at (0.500, 0.211, 0.404).

[7]
A relaxed Cs3RbHg crystal, computed with GGA-PBE.

The structure belongs to space group Pnma (No. 62); the cell edges are 9.162, 13.849 and 12.519 Å and the angles 90.00°, 90.00° and 90.00°. The inequivalent atoms are Cs at (0.136, 0.037, 0.182), Cs at (0.228, 0.750, 0.387), Rb at (0.216, 0.250, 0.471) and Hg at (0.000, 0.000, 0.500).

For the relative energy among the computed polymorphs, the calculation gives 19 meV/atom.

[8]
A relaxed CsRb2Hg2 crystal, computed with GGA-PBE.

The structure belongs to space group C2/m (No. 12); the cell edges are 14.576, 5.363 and 7.377 Å and the angles 90.00°, 102.73° and 90.00°. The inequivalent atoms are Cs at (0.000, 0.000, 0.000), Rb at (0.152, 0.500, 0.579) and Hg at (0.225, 0.500, 0.092).

For the relative energy among the computed polymorphs, the calculation gives 3 meV/atom.

[9]
A relaxed Cs3RbHg crystal, computed with GGA-PBE.

The structure belongs to space group P4mm (No. 99); the cell edges are 6.191, 6.191 and 12.975 Å and the angles 90.00°, 90.00° and 90.00°. The inequivalent atoms are Cs at (0.000, 0.000, 0.000), Cs at (0.000, 0.500, 0.658), Rb at (0.000, 0.000, 0.365) and Hg at (0.500, 0.500, 0.466).

For the relative energy among the computed polymorphs, the calculation gives 141 meV/atom.

[10]
A relaxed CsRb2Hg9 crystal, computed with GGA-PBE.

The structure belongs to space group R-3m (No. 166, hexagonal axes); the cell edges are 6.6111, 6.6111 and 32.6803 Å and the angles 90.00°, 90.00° and 120.00°. The inequivalent atoms are Cs at (0.0000, 0.0000, 0.0000), Rb at (0.0000, 0.0000, 0.1425), Hg at (0.0000, 0.0000, 0.3382), Hg at (0.0000, 0.0000, 0.5000) and Hg at (0.0113, 0.5057, 0.9160).

[11]
A relaxed Cs3Rb5Hg crystal, computed with GGA-PBE.

The structure belongs to space group P-62m (No. 189); the cell edges are 12.7699, 12.7699 and 5.4611 Å and the angles 90.00°, 90.00° and 120.00°. The inequivalent atoms are Cs at (0.0000, 0.3688, 0.0000), Rb at (0.0000, 0.7756, 0.5000), Rb at (0.3333, 0.6667, 0.5000) and Hg at (0.0000, 0.0000, 0.0000).

[12]
A relaxed Cs9Rb6Hg crystal, computed with GGA-PBE.

The structure belongs to space group I4/m (No. 87); the cell edges are 12.030, 12.030 and 21.654 Å and the angles 90.00°, 90.00° and 90.00°. The inequivalent atoms are Cs at (0.000, 0.000, 0.000), Cs at (0.112, 0.694, 0.160), Rb at (0.000, 0.000, 0.329), Rb at (0.095, 0.707, 0.500) and Hg at (0.000, 0.000, 0.500).

[13]
A relaxed CsRb8Hg2 crystal, computed with GGA-PBE.

The structure belongs to space group C2/m (No. 12); the cell edges are 11.999, 17.928 and 7.647 Å and the angles 90.00°, 101.51° and 90.00°. The inequivalent atoms are Cs at (0.000, 0.000, 0.000), Rb at (0.000, 0.266, 0.000), Rb at (0.094, 0.500, 0.774), Rb at (0.200, 0.139, 0.582) and Hg at (0.000, 0.315, 0.500).

For the relative energy among the computed polymorphs, the calculation gives 0 meV/atom.

[14]
A relaxed CsRb2Hg crystal, computed with GGA-PBE.

The structure belongs to space group P2_1/c (No. 14); the cell edges are 12.439, 9.066 and 11.283 Å and the angles 90.00°, 116.92° and 90.00°. The inequivalent atoms are Cs at (0.000, 0.000, 0.193), Rb at (0.296, 0.190, 0.648), Rb at (0.358, 0.750, 0.430) and Hg at (0.080, 0.642, 0.040).

[15]
A relaxed Cs8Rb3Hg crystal, computed with GGA-PBE.

The structure belongs to space group P6_3mc (No. 186); the cell edges are 16.0267, 16.0267 and 10.3944 Å and the angles 90.00°, 90.00° and 120.00°. The inequivalent atoms are Cs at (0.0000, 0.0000, 0.0338), Cs at (0.0489, 0.5244, 0.0000), Cs at (0.2057, 0.4114, 0.2946), Cs at (0.3333, 0.6667, 0.6825), Rb at (0.1564, 0.3129, 0.7811) and Hg at (0.3333, 0.6667, 0.0788).

[16]
A relaxed CsRb3Hg crystal, computed with GGA-PBE.

The structure belongs to space group C2/m (No. 12); the cell edges are 24.693, 5.380 and 11.774 Å and the angles 90.00°, 109.42° and 90.00°. The inequivalent atoms are Cs at (0.036, 0.000, 0.225), Rb at (0.105, 0.500, 0.625), Rb at (0.169, 0.000, 0.976), Rb at (0.215, 0.500, 0.320) and Hg at (0.064, 0.500, 0.003).

For the relative energy among the computed polymorphs, the calculation gives 0 meV/atom.

[17]
A relaxed Cs2Rb5Hg crystal, computed with GGA-PBE.

The structure belongs to space group Cm (No. 8); the cell edges are 13.538, 12.441 and 9.444 Å and the angles 90.00°, 120.64° and 90.00°. The inequivalent atoms are Cs at (0.000, 0.192, 0.000), Rb at (0.153, 0.500, 0.893), Rb at (0.204, 0.000, 0.679), Rb at (0.232, 0.500, 0.446), Rb at (0.412, 0.204, 0.402) and Hg at (0.434, 0.500, 0.275).

[18]
A relaxed CsRb8Hg2 crystal, computed with GGA-PBE.

The structure belongs to space group Immm (No. 71); the cell edges are 7.433, 14.506 and 15.095 Å and the angles 90.00°, 90.00° and 90.00°. The inequivalent atoms are Cs at (0.000, 0.000, 0.000), Rb at (0.000, 0.167, 0.318), Rb at (0.000, 0.319, 0.000), Rb at (0.000, 0.500, 0.303) and Hg at (0.000, 0.344, 0.500).

For the relative energy among the computed polymorphs, the calculation gives 16 meV/atom.

[19]
A relaxed CsRbHg4 crystal, computed with GGA-PBE.

The structure belongs to space group F-43m (No. 216); the cell edges are 9.522, 9.522 and 9.522 Å and the angles 90.00°, 90.00° and 90.00°. The inequivalent atoms are Cs at (0.000, 0.000, 0.000), Rb at (0.250, 0.250, 0.250) and Hg at (0.124, 0.124, 0.624).

For the relative energy among the computed polymorphs, the calculation gives 46 meV/atom.

[20]
A relaxed Cs3RbHg crystal, computed with GGA-PBE.

The structure belongs to space group P2_1/m (No. 11); the cell edges are 8.849, 9.524 and 9.786 Å and the angles 90.00°, 90.51° and 90.00°. The inequivalent atoms are Cs at (0.079, 0.001, 0.250), Cs at (0.404, 0.250, 0.617), Rb at (0.422, 0.750, 0.884) and Hg at (0.200, 0.750, 0.551).

For the relative energy among the computed polymorphs, the calculation gives 10 meV/atom.

In the order shown, the computed final energy values come out to -0.76; -0.83; -0.79; -0.87; -0.78; -0.68; -0.85; -0.86; -0.73; -0.66; -0.89; -0.88; -0.91; -0.88; -0.86; -0.91; -0.88; -0.90; -0.72; -0.86 eV/atom.